Entry from the Alexandria database: Pm4DyTm7 after structural relaxation (PBE-GGA).

Output
DOS at the Fermi energy   18.892 states/eV per cell
Uncorrected energy   -4.4874 eV per atom
Calculated formation energy   0.088 eV/atom

a = 6.8023 Å, b = 8.6612 Å, c = 8.9634 Å
α = 84.88°, β = 95.74°, γ = 48.13°
Sites, in units of the cell vectors:
Pm 0.5561 0.6383 0.2883
Pm 0.4439 0.3617 0.7117
Pm 0.7805 0.8345 0.6911
Pm 0.2195 0.1655 0.3089
Dy 0.0000 0.0000 0.0000
Tm 0.7355 0.5123 0.9528
Tm 0.2645 0.4877 0.0472
Tm 0.9762 0.3192 0.6459
Tm 0.0238 0.6808 0.3541
Tm 0.2914 0.8141 0.6194
Tm 0.5000 0.0000 0.0000
Tm 0.7086 0.1859 0.3806

Entry from the Alexandria database: Pm2DyTm2 after structural relaxation (PBE-GGA).

Output
DOS at the Fermi energy   13.440 states/eV per cell
Uncorrected energy   -4.5891 eV per atom
Calculated formation energy   0.020 eV/atom

a = 5.0359 Å, b = 6.1617 Å, c = 12.8472 Å
α = 108.57°, β = 78.70°, γ = 65.88°
Sites, in units of the cell vectors:
Pm 0.0978 0.2529 0.5514
Pm 0.9022 0.7471 0.4486
Pm 0.4978 0.2511 0.7534
Pm 0.5022 0.7489 0.2466
Dy 0.3027 0.2475 0.1471
Dy 0.6973 0.7525 0.8529
Tm 0.7013 0.2494 0.3479
Tm 0.2987 0.7506 0.6521
Tm 0.0995 0.7511 0.0498
Tm 0.9005 0.2489 0.9502

Computed values of excess energy over the best structure of this formula in the dataset (unit: eV per atom) for the preceding records, in sequence: 0.000 0.000.